# CaTlHg14 (PBE-GGA, relaxed)
# ΔE_f in kcal/mol of atoms: -1.96
# E_tot in eV for the cell shown: -9.96
# Total magnetization in μB per formula unit: 0.00
data_CaTlHg14
_chemical_formula_sum 'Ca1 Tl1 Hg14'
_space_group_name_H-M_alt 'P 1'
_space_group_IT_number 1
_space_group_name_Hall 'P 1'
_cell_length_a 10.7047
_cell_length_b 6.7311
_cell_length_c 6.7311
_cell_angle_alpha 63.07
_cell_angle_beta 90.00
_cell_angle_gamma 90.00
loop_
_atom_site_label
_atom_site_fract_x
_atom_site_fract_y
_atom_site_fract_z
Ca1 0.0000 0.0000 0.0000
Tl1 0.0000 0.5127 0.5127
Hg1 0.0000 0.0059 0.5039
Hg2 0.0000 0.5039 0.0059
Hg3 0.2447 0.1737 0.1737
Hg4 0.2520 0.1699 0.6754
Hg5 0.2520 0.6754 0.1699
Hg6 0.2633 0.6732 0.6732
Hg7 0.5000 0.0015 0.4776
Hg8 0.5000 0.4776 0.0015
Hg9 0.5000 0.4882 0.4882
Hg10 0.5000 0.9857 0.9857
Hg11 0.7367 0.6732 0.6732
Hg12 0.7480 0.1699 0.6754
Hg13 0.7480 0.6754 0.1699
Hg14 0.7553 0.1737 0.1737